4
Lattice="3.1755 0.0000 0.0000 0.0000 5.5501 0.0000 0.0000 0.0000 5.5207" Properties=species:S:1:pos:R:3 comment="Tl2InFe | Alexandria via LeMat-Bulk | GGA-PBE | optimized geometry" ef_mev_per_atom=529.7 polymorph_energy_mev_per_atom=221 pbc="T T T"
Fe 1.5878 0.0000 2.7604
In 0.0000 2.7750 2.7604
Tl 0.0000 0.0000 0.0000
Tl 1.5878 2.7750 0.0000

***

11
Lattice="5.3559 0.0000 0.0000 0.0000 7.0631 0.0679 -2.6780 -2.9121 9.6338" Properties=species:S:1:pos:R:3 comment="La8AgSn2 | Alexandria via LeMat-Bulk | GGA-PBE | optimized geometry" ef_mev_per_atom=-347.2 pbc="T T T"
La 0.0000 1.3428 7.9023
La 2.6780 6.0908 3.0550
La 2.6780 3.2182 5.5643
La 2.6780 -1.2538 9.3913
La 0.0000 0.9327 4.1374
La 0.0000 -1.9399 6.6467
La 2.6780 2.8081 1.7994
La 0.0000 5.4047 0.3104
Ag 2.6780 0.0000 0.0000
Sn 2.6780 -0.0511 6.2227
Sn 0.0000 4.2020 3.4790

***

| no. | E (eV/cell) | D(E_F) (states/eV/cell) |
| --- | --- | --- |
| 1 | -13.815 | 3.3 |
| 2 | -54.096 | 12.5 |